[1]
Li4CoRuO6 | GGA-PBEsol | optimized geometry

Unit cell a=4.9549 b=4.9541 c=4.9992 alpha=99.51 beta=99.52 gamma=119.99
Last column: nearest neighbours and their distance in Å.
Positions (direct):
Ru1 0.8336 0.1664 0.5000  6 O 1.96-1.97
Co1 0.5004 0.4996 0.5000  6 O 1.90-1.91
O1 0.8872 0.5620 0.7314  1 Co 1.91, 1 Ru 1.97, 4 Li 2.01-2.13
O2 0.2519 0.2663 0.7270  1 Co 1.90, 1 Ru 1.96, 3 Li 2.04-2.05
O3 0.5923 0.8997 0.7283  1 Co 1.90, 1 Ru 1.96, 3 Li 2.06-2.11
O4 0.1003 0.4077 0.2717  1 Co 1.90, 1 Ru 1.96, 3 Li 2.06-2.11
O5 0.4380 0.1128 0.2686  1 Co 1.91, 1 Ru 1.97, 4 Li 2.01-2.13
O6 0.7337 0.7481 0.2730  1 Co 1.90, 1 Ru 1.96, 3 Li 2.04-2.05
Li1 0.3305 0.6695 0.0000  6 O 2.04-2.13
Li2 0.6562 0.3438 0.0000  6 O 2.01-2.23
Li3 0.0084 0.9916 0.0000  6 O 2.05-2.17
Li4 0.1674 0.8326 0.5000  6 O 2.05-2.06

Computed properties:
Formation energy without anion corrections ... -1.604 eV/atom
Uncorrected energy ... -6.38 eV per atom

[2]
Li2Co3SbO8 | GGA-PBEsol | optimized geometry

Unit cell a=5.6909 b=5.6909 c=9.2964 alpha=90.00 beta=90.00 gamma=120.00
Last column: nearest neighbours and their distance in Å.
Positions (direct):
Li1 0.3333 0.6667 0.6001  4 O 1.91-1.99
Li2 0.0000 0.0000 0.5054  4 O 1.75-1.85
Li3 0.0000 0.0000 0.0054  4 O 1.75-1.85
Li4 0.6667 0.3333 0.1001  4 O 1.91-1.99
Co1 0.1698 0.8302 0.2843  6 O 1.87-1.94
Co2 0.6605 0.8302 0.2843  6 O 1.87-1.94
Co3 0.1698 0.3395 0.2843  6 O 1.87-1.94
Co4 0.8302 0.6605 0.7843  6 O 1.87-1.94
Co5 0.3395 0.1698 0.7843  6 O 1.87-1.94
Co6 0.8302 0.1698 0.7843  6 O 1.87-1.94
Sb1 0.3333 0.6667 0.0083  6 O 2.00-2.09
Sb2 0.6667 0.3333 0.5083  6 O 2.00-2.09
O1 0.1588 0.8412 0.8995  1 Li 1.85, 2 Co 1.94, 1 Sb 2.00
O2 0.4834 0.9669 0.1672  2 Co 1.89, 1 Li 1.91, 1 Sb 2.09
O3 0.3333 0.6667 0.3860  3 Co 1.87, 1 Li 1.99
O4 0.0000 0.0000 0.1933  1 Li 1.75, 3 Co 1.88
O5 0.0000 0.0000 0.6933  1 Li 1.75, 3 Co 1.88
O6 0.6824 0.8412 0.8995  1 Li 1.85, 2 Co 1.94, 1 Sb 2.00
O7 0.0331 0.5166 0.1672  2 Co 1.89, 1 Li 1.91, 1 Sb 2.09
O8 0.4834 0.5166 0.1672  2 Co 1.89, 1 Li 1.91, 1 Sb 2.09
O9 0.8412 0.6824 0.3995  1 Li 1.85, 2 Co 1.94, 1 Sb 2.00
O10 0.1588 0.3176 0.8995  1 Li 1.85, 2 Co 1.94, 1 Sb 2.00
O11 0.5166 0.4834 0.6672  2 Co 1.89, 1 Li 1.91, 1 Sb 2.09
O12 0.9669 0.4834 0.6672  2 Co 1.89, 1 Li 1.91, 1 Sb 2.09
O13 0.6667 0.3333 0.8860  3 Co 1.87, 1 Li 1.99
O14 0.3176 0.1588 0.3995  1 Li 1.85, 2 Co 1.94, 1 Sb 2.00
O15 0.5166 0.0331 0.6672  2 Co 1.89, 1 Li 1.91, 1 Sb 2.09
O16 0.8412 0.1588 0.3995  1 Li 1.85, 2 Co 1.94, 1 Sb 2.00

Computed properties:
Formation energy without anion corrections ... -1.437 eV/atom
E above lowest polymorph ... 0.27 eV/f.u.
Uncorrected energy ... -6.70 eV per atom

[3]
Li2Co3SbO8 | GGA-PBEsol | optimized geometry

Unit cell a=5.7108 b=5.7108 c=5.8291 alpha=60.67 beta=60.67 gamma=60.00
Last column: nearest neighbours and their distance in Å.
Positions (direct):
Li1 0.1253 0.1253 0.6240  4 O 1.93-2.04
Li2 0.8747 0.8747 0.3760  4 O 1.93-2.04
Co1 0.5000 0.0000 0.0000  6 O 1.91-1.92
Co2 0.0000 0.5000 0.0000  6 O 1.91-1.92
Co3 0.5000 0.5000 0.0000  6 O 1.91-1.92
Sb1 0.5000 0.5000 0.5000  6 O 2.02
O1 0.7142 0.2545 0.7768  2 Co 1.92, 1 Li 1.93, 1 Sb 2.02
O2 0.2545 0.7142 0.7768  2 Co 1.92, 1 Li 1.93, 1 Sb 2.02
O3 0.7330 0.7330 0.8009  3 Co 1.91, 1 Li 2.04
O4 0.2545 0.2545 0.7768  2 Co 1.92, 1 Li 1.93, 1 Sb 2.02
O5 0.7455 0.7455 0.2232  2 Co 1.92, 1 Li 1.93, 1 Sb 2.02
O6 0.2670 0.2670 0.1991  3 Co 1.91, 1 Li 2.04
O7 0.7455 0.2858 0.2232  2 Co 1.92, 1 Li 1.93, 1 Sb 2.02
O8 0.2858 0.7455 0.2232  2 Co 1.92, 1 Li 1.93, 1 Sb 2.02

Computed properties:
Formation energy without anion corrections ... -1.444 eV/atom
E above lowest polymorph ... 0.17 eV/f.u.
Uncorrected energy ... -6.71 eV per atom

[4]
Li4Co3Sb5O16 | GGA-PBEsol | optimized geometry

Unit cell a=6.0562 b=10.1943 c=10.6149 alpha=89.68 beta=90.00 gamma=90.00
Last column: nearest neighbours and their distance in Å.
Positions (direct):
Li1 0.0000 0.1184 0.8346  3 O 1.97-2.03
Li2 0.5000 0.1143 0.3325  4 O 1.99-2.19
Li3 0.0000 0.0119 0.5155  4 O 1.82-2.03
Li4 0.5000 0.0097 0.0049  3 O 1.83-1.91
Li5 0.0000 0.4951 0.5024  4 O 1.86-2.01
Li6 0.5000 0.4938 0.0076  4 O 1.88-2.00
Li7 0.5000 0.6021 0.6751  4 O 2.01-2.08
Li8 0.0000 0.6309 0.1745  3 O 1.93-1.94
Co1 0.5000 0.7908 0.1698  6 O 2.00-2.18
Co2 0.7325 0.2871 0.5817  6 O 2.01-2.15
Co3 0.2675 0.2871 0.5817  6 O 2.01-2.15
Co4 0.0000 0.7813 0.6696  6 O 2.03-2.15
Co5 0.2474 0.2791 0.0830  6 O 1.93-1.97
Co6 0.7526 0.2791 0.0830  6 O 1.93-1.97
Sb1 0.0000 0.4839 0.8190  3 O 2.02-2.24
Sb2 0.5000 0.4870 0.3146  3 O 2.08-2.11
Sb3 0.5000 0.2810 0.8340  6 O 1.98-2.07
Sb4 0.0000 0.2796 0.3277  6 O 1.96-2.06
Sb5 0.5000 0.0228 0.6524  5 O 2.08-2.28
Sb6 0.0000 0.0169 0.1508  5 O 2.13-2.31
Sb7 0.2487 0.7820 0.9159  6 O 1.98-2.05
Sb8 0.7486 0.7863 0.4187  6 O 1.97-2.04
Sb9 0.7513 0.7820 0.9159  6 O 1.98-2.05
Sb10 0.2514 0.7863 0.4187  6 O 1.97-2.04
O1 0.0000 0.6793 0.9975  1 Li 1.94, 2 Sb 2.03
O2 0.5000 0.6750 0.4924  2 Sb 2.04, 1 Li 2.07
O3 0.0000 0.8927 0.8414  2 Sb 2.04, 1 Co 2.15
O4 0.5000 0.8994 0.3462  2 Sb 2.04, 1 Co 2.18, 1 Li 2.19
O5 0.5000 0.6775 0.9977  1 Li 1.88, 2 Sb 2.05
O6 0.0000 0.6773 0.4939  1 Li 1.86, 2 Sb 2.04
O7 0.5000 0.1897 0.0084  1 Li 1.83, 2 Co 1.95
O8 0.0000 0.1892 0.4907  1 Li 1.82, 1 Sb 1.96
O9 0.5000 0.8929 0.8474  2 Sb 2.03, 1 Li 2.06
O10 0.0000 0.9017 0.3568  1 Li 2.03, 2 Sb 2.03
O11 0.0000 0.3916 0.6514  1 Li 1.90, 1 Sb 2.02, 2 Co 2.08
O12 0.5000 0.3783 0.1499  1 Li 1.91, 2 Co 1.97, 1 Sb 2.08
O13 0.5000 0.3984 0.6845  1 Sb 1.98, 1 Li 2.08, 2 Co 2.11
O14 0.0000 0.3743 0.1560  2 Co 1.95, 1 Sb 2.06
O15 0.5000 0.1671 0.5128  1 Li 1.99, 2 Co 2.01, 1 Sb 2.08
O16 0.0000 0.1740 0.0178  2 Co 1.97, 1 Li 2.03, 1 Sb 2.13
O17 0.2640 0.3831 0.9303  1 Co 1.93, 1 Li 2.00, 1 Sb 2.04
O18 0.7659 0.3963 0.4089  1 Li 2.01, 2 Sb 2.04-2.11, 1 Co 2.15
O19 0.7360 0.3831 0.9303  1 Co 1.93, 1 Li 2.00, 1 Sb 2.04
O20 0.2341 0.3963 0.4089  1 Li 2.01, 2 Sb 2.04-2.11, 1 Co 2.15
O21 0.2315 0.6728 0.7630  1 Sb 1.98, 1 Li 2.01, 1 Co 2.04
O22 0.7355 0.6888 0.2592  1 Li 1.93, 1 Sb 1.97, 1 Co 2.00
O23 0.7685 0.6728 0.7630  1 Sb 1.98, 1 Li 2.01, 1 Co 2.04
O24 0.2645 0.6888 0.2592  1 Li 1.93, 1 Sb 1.97, 1 Co 2.00
O25 0.7245 0.1670 0.7481  1 Li 1.97, 1 Sb 2.01, 1 Co 2.14
O26 0.2336 0.1728 0.2338  1 Co 1.93, 1 Li 2.01, 1 Sb 2.05
O27 0.2755 0.1670 0.7481  1 Li 1.97, 1 Sb 2.01, 1 Co 2.14
O28 0.7664 0.1728 0.2338  1 Co 1.93, 1 Li 2.01, 1 Sb 2.05
O29 0.7719 0.8907 0.5756  1 Li 1.96, 1 Sb 1.99, 1 Co 2.03
O30 0.2720 0.8972 0.0667  1 Li 1.91, 1 Sb 2.00, 1 Co 2.07
O31 0.2281 0.8907 0.5756  1 Li 1.96, 1 Sb 1.99, 1 Co 2.03
O32 0.7280 0.8972 0.0667  1 Li 1.91, 1 Sb 2.00, 1 Co 2.07

Computed properties:
Formation energy without anion corrections ... -1.402 eV/atom
Uncorrected energy ... -6.32 eV per atom

[5]
Li2Co3SbO8 | GGA-PBEsol | optimized geometry

Unit cell a=8.1518 b=8.1518 c=8.1518 alpha=90.00 beta=90.00 gamma=90.00
Last column: nearest neighbours and their distance in Å.
Positions (direct):
Li1 0.9953 0.9953 0.9953  4 O 1.89-1.97
Li2 0.2547 0.2547 0.2547  4 O 1.89-1.97
Li3 0.2453 0.7453 0.7547  4 O 1.89-1.97
Li4 0.5047 0.0047 0.4953  4 O 1.89-1.97
Li5 0.4953 0.5047 0.0047  4 O 1.89-1.97
Li6 0.7547 0.2453 0.7453  4 O 1.89-1.97
Li7 0.7453 0.7547 0.2453  4 O 1.89-1.97
Li8 0.0047 0.4953 0.5047  4 O 1.89-1.97
Co1 0.1176 0.1324 0.6250  6 O 1.88-1.93
Co2 0.1250 0.3824 0.8676  6 O 1.88-1.93
Co3 0.1324 0.6250 0.1176  6 O 1.88-1.93
Co4 0.3676 0.3750 0.6176  6 O 1.88-1.93
Co5 0.3750 0.6176 0.3676  6 O 1.88-1.93
Co6 0.3824 0.8676 0.1250  6 O 1.88-1.93
Co7 0.6176 0.3676 0.3750  6 O 1.88-1.93
Co8 0.6250 0.1176 0.1324  6 O 1.88-1.93
Co9 0.6324 0.8750 0.8824  6 O 1.88-1.93
Co10 0.8676 0.1250 0.3824  6 O 1.88-1.93
Co11 0.8750 0.8824 0.6324  6 O 1.88-1.93
Co12 0.8824 0.6324 0.8750  6 O 1.88-1.93
Sb1 0.1250 0.8750 0.3750  6 O 2.03
Sb2 0.3750 0.1250 0.8750  6 O 2.03
Sb3 0.6250 0.6250 0.6250  6 O 2.03
Sb4 0.8750 0.3750 0.1250  6 O 2.03
O1 0.1047 0.1224 0.3908  2 Co 1.91-1.93, 1 Li 1.97, 1 Sb 2.03
O2 0.1092 0.8953 0.6224  2 Co 1.91-1.93, 1 Li 1.97, 1 Sb 2.03
O3 0.1114 0.6114 0.8886  3 Co 1.88, 1 Li 1.89
O4 0.1276 0.1453 0.8592  2 Co 1.91-1.93, 1 Li 1.97, 1 Sb 2.03
O5 0.1224 0.3908 0.1047  2 Co 1.91-1.93, 1 Li 1.97, 1 Sb 2.03
O6 0.1386 0.3614 0.6386  3 Co 1.88, 1 Li 1.89
O7 0.1408 0.6276 0.3547  2 Co 1.91-1.93, 1 Li 1.97, 1 Sb 2.03
O8 0.1453 0.8592 0.1276  2 Co 1.91-1.93, 1 Li 1.97, 1 Sb 2.03
O9 0.3547 0.1408 0.6276  2 Co 1.91-1.93, 1 Li 1.97, 1 Sb 2.03
O10 0.3592 0.3724 0.8547  2 Co 1.91-1.93, 1 Li 1.97, 1 Sb 2.03
O11 0.3614 0.6386 0.1386  3 Co 1.88, 1 Li 1.89
O12 0.3776 0.6092 0.6047  2 Co 1.91-1.93, 1 Li 1.97, 1 Sb 2.03
O13 0.3724 0.8547 0.3592  2 Co 1.91-1.93, 1 Li 1.97, 1 Sb 2.03
O14 0.3886 0.3886 0.3886  3 Co 1.88, 1 Li 1.89
O15 0.3908 0.1047 0.1224  2 Co 1.91-1.93, 1 Li 1.97, 1 Sb 2.03
O16 0.3953 0.8776 0.8908  2 Co 1.91-1.93, 1 Li 1.97, 1 Sb 2.03
O17 0.6047 0.3776 0.6092  2 Co 1.91-1.93, 1 Li 1.97, 1 Sb 2.03
O18 0.6092 0.6047 0.3776  2 Co 1.91-1.93, 1 Li 1.97, 1 Sb 2.03
O19 0.6114 0.8886 0.1114  3 Co 1.88, 1 Li 1.89
O20 0.6276 0.3547 0.1408  2 Co 1.91-1.93, 1 Li 1.97, 1 Sb 2.03
O21 0.6224 0.1092 0.8953  2 Co 1.91-1.93, 1 Li 1.97, 1 Sb 2.03
O22 0.6386 0.1386 0.3614  3 Co 1.88, 1 Li 1.89
O23 0.6408 0.8724 0.6453  2 Co 1.91-1.93, 1 Li 1.97, 1 Sb 2.03
O24 0.6453 0.6408 0.8724  2 Co 1.91-1.93, 1 Li 1.97, 1 Sb 2.03
O25 0.8547 0.3592 0.3724  2 Co 1.91-1.93, 1 Li 1.97, 1 Sb 2.03
O26 0.8592 0.1276 0.1453  2 Co 1.91-1.93, 1 Li 1.97, 1 Sb 2.03
O27 0.8614 0.8614 0.8614  3 Co 1.88, 1 Li 1.89
O28 0.8776 0.8908 0.3953  2 Co 1.91-1.93, 1 Li 1.97, 1 Sb 2.03
O29 0.8724 0.6453 0.6408  2 Co 1.91-1.93, 1 Li 1.97, 1 Sb 2.03
O30 0.8886 0.1114 0.6114  3 Co 1.88, 1 Li 1.89
O31 0.8908 0.3953 0.8776  2 Co 1.91-1.93, 1 Li 1.97, 1 Sb 2.03
O32 0.8953 0.6224 0.1092  2 Co 1.91-1.93, 1 Li 1.97, 1 Sb 2.03

Computed properties:
Formation energy without anion corrections ... -1.456 eV/atom
E above lowest polymorph ... 0.00 eV/f.u.
Uncorrected energy ... -6.72 eV per atom